Computed, not measured: TbDy2Hg4 after structural relaxation at the PBE level of DFT.

M_tot   0.000 Bohr magnetons per cell
E above lowest polymorph   2.65 eV/f.u.

Cell and atoms, written as CIF:
```
data_TbDy2Hg4
_space_group_name_H-M_alt 'I 4/m m m'
_space_group_IT_number 139
_space_group_name_Hall '-I 4 2'
_cell_length_a 5.627
_cell_length_b 5.627
_cell_length_c 15.345
_cell_angle_alpha 90.00
_cell_angle_beta 90.00
_cell_angle_gamma 90.00
loop_
_atom_site_label
_atom_site_fract_x
_atom_site_fract_y
_atom_site_fract_z
Tb1 0.000 0.000 0.000
Dy1 0.000 0.000 0.398
Hg1 0.000 0.000 0.199
Hg2 0.000 0.500 0.000
```